Computed, not measured: an optimized crystal structure of PmPrInPt at the PBE level of DFT.

Geometry as CIF:
```
data_PmPrInPt
_cell_length_a 7.5012
_cell_length_b 7.5012
_cell_length_c 7.5012
_cell_angle_alpha 90.00
_cell_angle_beta 90.00
_cell_angle_gamma 90.00
_symmetry_space_group_name_H-M 'F -4 3 m'
_symmetry_Int_Tables_number 216
_symmetry_space_group_name_Hall 'F -4 2 3'
loop_
_atom_site_label
_atom_site_type_symbol
_atom_site_fract_x
_atom_site_fract_y
_atom_site_fract_z
Pm1 Pm 0.0000 0.0000 0.0000
Pr1 Pr 0.0000 0.0000 0.5000
In1 In 0.2500 0.2500 0.2500
Pt1 Pt 0.2500 0.2500 0.7500
```

Results
- Total DFT energy (no corrections): -5.2157 eV/atom
- Total magnetic moment: 0.00 μB per formula unit
- Energy of formation: -638 meV/atom
- N(E_F): 0.92 states/eV per atom



Computed, not measured: an optimized crystal structure of TmUFe at the PBE level of DFT.

Geometry as CIF:
```
data_TmUFe
_cell_length_a 5.1611
_cell_length_b 5.1611
_cell_length_c 16.8627
_cell_angle_alpha 90.00
_cell_angle_beta 90.00
_cell_angle_gamma 120.00
_symmetry_space_group_name_H-M 'R -3 m'
_symmetry_Int_Tables_number 166
_symmetry_space_group_name_Hall '-R 3 2"'
loop_
_atom_site_label
_atom_site_type_symbol
_atom_site_fract_x
_atom_site_fract_y
_atom_site_fract_z
Tm1 Tm 0.0000 0.0000 0.1104
U1 U 0.0000 0.0000 0.3906
Fe1 Fe 0.0000 0.0000 0.2662
```

Results
- Total DFT energy (no corrections): -7.8993 eV/atom
- Total magnetic moment: 1.56 μB per formula unit
- Energy of formation: 175 meV/atom
- N(E_F): 1.75 states/eV per atom



The lowest energy of formation belongs to which entry?
PmPrInPt